(1)
VASP calculation (GGA-PBEsol) on a geometry-optimized MgScRu2 structure.

Calculated values
N(E_F) ... 0.8133 states/eV per atom
Formation energy from the elements ... 0.0 eV per formula unit
Crystal system ... orthorhombic
Volume ... 124 Å³/cell

abc: 3.1286 4.7388 8.3819
angles: 90.00 90.00 90.00
Space group Immm (No. 71)
Unique sites:
Mg (0.0000, 0.0000, 0.0000) [2 per cell]
Sc (0.0000, 0.0000, 0.5000) [2 per cell]
Ru (0.0000, 0.5000, 0.2453) [4 per cell]

=====

(2)
VASP calculation (GGA-PBEsol) on a geometry-optimized Mg2ScRu structure.

Calculated values
N(E_F) ... 0.5219 states/eV per atom
Formation energy from the elements ... -0.7 eV per formula unit
Crystal system ... tetragonal
Volume ... 77 Å³/cell

abc: 3.2249 3.2249 7.3624
angles: 90.00 90.00 90.00
Space group P4mm (No. 99)
Unique sites:
Mg (0.0000, 0.0000, 0.0000) [1 per cell]
Mg (0.5000, 0.5000, 0.2868) [1 per cell]
Sc (0.5000, 0.5000, 0.6809) [1 per cell]
Ru (0.0000, 0.0000, 0.4964) [1 per cell]

=====

(3)
VASP calculation (GGA-PBEsol) on a geometry-optimized MgScRu2 structure.

Calculated values
N(E_F) ... 1.0182 states/eV per atom
Formation energy from the elements ... 0.1 eV per formula unit
Crystal system ... monoclinic
Volume ... 63 Å³/cell

abc: 2.8446 4.3567 5.2691
angles: 90.00 105.52 90.00
Space group Pm (No. 6)
Unique sites:
Mg (0.0000, 0.0000, 0.0000) [1 per cell]
Sc (0.3091, 0.5000, 0.7291) [1 per cell]
Ru (0.5530, 0.0000, 0.4709) [1 per cell]
Ru (0.8256, 0.5000, 0.2595) [1 per cell]

=====

(4)
VASP calculation (GGA-PBEsol) on a geometry-optimized Mg2ScRu structure.

Calculated values
N(E_F) ... 0.7200 states/eV per atom
Formation energy from the elements ... -0.2 eV per formula unit
Crystal system ... tetragonal
Volume ... 71 Å³/cell

abc: 3.9066 3.9066 4.6480
angles: 90.00 90.00 90.00
Space group P4/mmm (No. 123)
Unique sites:
Mg (0.0000, 0.5000, 0.0000) [2 per cell]
Sc (0.0000, 0.0000, 0.5000) [1 per cell]
Ru (0.5000, 0.5000, 0.5000) [1 per cell]

=====

(5)
VASP calculation (GGA-PBEsol) on a geometry-optimized Mg2ScRu structure.

Calculated values
N(E_F) ... 1.1380 states/eV per atom
Formation energy from the elements ... 0.8 eV per formula unit
Crystal system ... trigonal
Volume ... 221 Å³/cell

abc: 2.9590 2.9590 29.1854
angles: 90.00 90.00 120.00
Space group R-3m (No. 166, hexagonal axes)
Unique sites:
Mg (0.0000, 0.0000, 0.2384) [6 per cell]
Sc (0.0000, 0.0000, 0.0000) [3 per cell]
Ru (0.0000, 0.0000, 0.5000) [3 per cell]

=====

(6)
VASP calculation (GGA-PBEsol) on a geometry-optimized MgScRu2 structure.

Calculated values
N(E_F) ... 0.9812 states/eV per atom
Formation energy from the elements ... -0.6 eV per formula unit
Crystal system ... orthorhombic
Volume ... 125 Å³/cell

abc: 3.0702 4.3650 9.3571
angles: 90.00 90.00 90.00
Space group Imm2 (No. 44)
Unique sites:
Mg (0.0000, 0.0000, 0.0000) [2 per cell]
Sc (0.0000, 0.5000, 0.2233) [2 per cell]
Ru (0.0000, 0.0000, 0.4714) [2 per cell]
Ru (0.0000, 0.5000, 0.7478) [2 per cell]

=====

(7)
VASP calculation (GGA-PBEsol) on a geometry-optimized Mg2ScSnRu structure.

Calculated values
N(E_F) ... 0.6484 states/eV per atom
Formation energy from the elements ... 0.7 eV per formula unit
Crystal system ... tetragonal
Volume ... 118 Å³/cell

abc: 4.9629 4.9629 4.7718
angles: 90.00 90.00 90.00
Space group P4/mmm (No. 123)
Unique sites:
Mg (0.0000, 0.5000, 0.0000) [2 per cell]
Sc (0.0000, 0.0000, 0.5000) [1 per cell]
Sn (0.5000, 0.5000, 0.5000) [1 per cell]
Ru (0.0000, 0.0000, 0.0000) [1 per cell]

=====

(8)
VASP calculation (GGA-PBEsol) on a geometry-optimized MgRuSe2 structure.

Calculated values
N(E_F) ... 0.3802 states/eV per atom
E_form (uncorrected) ... -0.295 eV per atom
Crystal system ... tetragonal
Volume ... 74 Å³/cell

abc: 3.0146 3.0146 8.1077
angles: 90.00 90.00 90.00
Space group P4mm (No. 99)
Unique sites:
Mg (0.0000, 0.0000, 0.0000) [1 per cell]
Ru (0.5000, 0.5000, 0.2466) [1 per cell]
Se (0.0000, 0.0000, 0.4001) [1 per cell]
Se (0.5000, 0.5000, 0.7693) [1 per cell]

=====

(9)
VASP calculation (GGA-PBEsol) on a geometry-optimized MgRuSe2 structure.

Calculated values
N(E_F) ... 0.3835 states/eV per atom
E_form (uncorrected) ... -0.423 eV per atom
Crystal system ... trigonal
Volume ... 217 Å³/cell

abc: 3.7837 3.7837 17.5409
angles: 90.00 90.00 120.00
Space group R-3m (No. 166, hexagonal axes)
Unique sites:
Mg (0.0000, 0.0000, 0.0000) [3 per cell]
Ru (0.0000, 0.0000, 0.5000) [3 per cell]
Se (0.0000, 0.0000, 0.2382) [6 per cell]

=====

(10)
VASP calculation (GGA-PBEsol) on a geometry-optimized Mg2SiRu2 structure.

Calculated values
N(E_F) ... 1.0142 states/eV per atom
E_form (uncorrected) ... -0.297 eV per atom
Crystal system ... tetragonal
Volume ... 159 Å³/cell

abc: 6.0964 6.0964 4.2785
angles: 90.00 90.00 90.00
Space group P4/mbm (No. 127)
Unique sites:
Mg (0.1663, 0.3337, 0.0000) [4 per cell]
Si (0.0000, 0.0000, 0.5000) [2 per cell]
Ru (0.1441, 0.6441, 0.5000) [4 per cell]

=====

(11)
VASP calculation (GGA-PBEsol) on a geometry-optimized MgSiRu3 structure.

Calculated values
N(E_F) ... 0.9583 states/eV per atom
E_form (uncorrected) ... 1.882 eV per atom
Crystal system ... cubic
Volume ... 82 Å³/cell

abc: 4.3529 4.3529 4.3529
angles: 90.00 90.00 90.00
Space group Pm-3m (No. 221)
Unique sites:
Mg (0.0000, 0.0000, 0.0000) [1 per cell]
Si (0.5000, 0.5000, 0.5000) [1 per cell]
Ru (0.0000, 0.0000, 0.5000) [3 per cell]

=====

(12)
VASP calculation (GGA-PBEsol) on a geometry-optimized Mg2SiRu structure.

Calculated values
N(E_F) ... 0.2413 states/eV per atom
E_form (uncorrected) ... -0.314 eV per atom
Crystal system ... tetragonal
Volume ... 66 Å³/cell

abc: 3.0769 3.0769 6.9855
angles: 90.00 90.00 90.00
Space group P4mm (No. 99)
Unique sites:
Mg (0.0000, 0.0000, 0.0000) [1 per cell]
Mg (0.5000, 0.5000, 0.3352) [1 per cell]
Si (0.5000, 0.5000, 0.7419) [1 per cell]
Ru (0.0000, 0.0000, 0.5917) [1 per cell]

=====

(13)
VASP calculation (GGA-PBEsol) on a geometry-optimized MgSn2Ru2 structure.

Calculated values
N(E_F) ... 0.4049 states/eV per atom
Formation energy from the elements ... -0.7 eV per formula unit
Crystal system ... tetragonal
Volume ... 176 Å³/cell

abc: 7.4418 7.4418 3.1811
angles: 90.00 90.00 90.00
Space group P4/mbm (No. 127)
Unique sites:
Mg (0.0000, 0.0000, 0.0000) [2 per cell]
Sn (0.1544, 0.3456, 0.5000) [4 per cell]
Ru (0.1429, 0.6429, 0.0000) [4 per cell]

=====

(14)
VASP calculation (GGA-PBEsol) on a geometry-optimized MgSn4Ru structure.

Calculated values
N(E_F) ... 0.1943 states/eV per atom
Formation energy from the elements ... -1.4 eV per formula unit
Crystal system ... tetragonal
Volume ... 511 Å³/cell

abc: 6.7366 6.7366 11.2543
angles: 90.00 90.00 90.00
Space group I4/mcm (No. 140)
Unique sites:
Mg (0.0000, 0.0000, 0.0000) [4 per cell]
Sn (0.1551, 0.3449, 0.1399) [16 per cell]
Ru (0.0000, 0.0000, 0.2500) [4 per cell]

=====

(15)
VASP calculation (GGA-PBEsol) on a geometry-optimized Sr2MgRu structure.

Calculated values
N(E_F) ... 0.8212 states/eV per atom
Formation energy from the elements ... 2.2 eV per formula unit
Crystal system ... trigonal
Volume ... 351 Å³/cell

abc: 3.6120 3.6120 31.0453
angles: 90.00 90.00 120.00
Space group R-3m (No. 166, hexagonal axes)
Unique sites:
Sr (0.0000, 0.0000, 0.2327) [6 per cell]
Mg (0.0000, 0.0000, 0.0000) [3 per cell]
Ru (0.0000, 0.0000, 0.5000) [3 per cell]

=====

(16)
VASP calculation (GGA-PBEsol) on a geometry-optimized MgTa2Ru structure.

Calculated values
N(E_F) ... 0.8282 states/eV per atom
Formation energy from the elements ... 0.8 eV per formula unit
Crystal system ... orthorhombic
Volume ... 132 Å³/cell

abc: 5.5851 8.0404 2.9308
angles: 90.00 90.00 90.00
Space group Cmmm (No. 65)
Unique sites:
Mg (0.0000, 0.0000, 0.0000) [2 per cell]
Ta (0.2500, 0.2500, 0.5000) [4 per cell]
Ru (0.0000, 0.5000, 0.0000) [2 per cell]

=====

(17)
VASP calculation (GGA-PBEsol) on a geometry-optimized MgTa2Ru structure.

Calculated values
N(E_F) ... 0.7288 states/eV per atom
Formation energy from the elements ... 0.2 eV per formula unit
Crystal system ... orthorhombic
Volume ... 132 Å³/cell

abc: 3.1006 4.6414 9.2040
angles: 90.00 90.00 90.00
Space group Imm2 (No. 44)
Unique sites:
Mg (0.0000, 0.0000, 0.0000) [2 per cell]
Ta (0.0000, 0.0000, 0.4656) [2 per cell]
Ta (0.0000, 0.5000, 0.2232) [2 per cell]
Ru (0.0000, 0.5000, 0.7410) [2 per cell]

=====

(18)
VASP calculation (GGA-PBEsol) on a geometry-optimized MgTa2Ru structure.

Calculated values
N(E_F) ... 0.8048 states/eV per atom
Formation energy from the elements ... 0.3 eV per formula unit
Crystal system ... orthorhombic
Volume ... 136 Å³/cell

abc: 3.1887 4.7035 9.0378
angles: 90.00 90.00 90.00
Space group Cmm2 (No. 35)
Unique sites:
Mg (0.0000, 0.0000, 0.0000) [2 per cell]
Ta (0.0000, 0.0000, 0.4639) [2 per cell]
Ta (0.0000, 0.5000, 0.7179) [2 per cell]
Ru (0.0000, 0.5000, 0.2420) [2 per cell]

=====

(19)
VASP calculation (GGA-PBEsol) on a geometry-optimized MgTa2Ru structure.

Calculated values
N(E_F) ... 1.4526 states/eV per atom
Formation energy from the elements ... 0.9 eV per formula unit
Crystal system ... cubic
Volume ... 262 Å³/cell

abc: 6.3991 6.3991 6.3991
angles: 90.00 90.00 90.00
Space group F-43m (No. 216)
Unique sites:
Mg (0.0000, 0.0000, 0.0000) [4 per cell]
Ta (0.0000, 0.0000, 0.5000) [4 per cell]
Ta (0.2500, 0.2500, 0.2500) [4 per cell]
Ru (0.2500, 0.2500, 0.7500) [4 per cell]

=====

(20)
VASP calculation (GGA-PBEsol) on a geometry-optimized Tb4MgRu structure.

Calculated values
N(E_F) ... 1.1274 states/eV per atom
Formation energy from the elements ... -1.3 eV per formula unit
Crystal system ... cubic
Volume ... 2481 Å³/cell

abc: 13.5382 13.5382 13.5382
angles: 90.00 90.00 90.00
Space group F-43m (No. 216)
Unique sites:
Tb (0.0000, 0.0000, 0.1872) [24 per cell]
Tb (0.0614, 0.2500, 0.2500) [24 per cell]
Tb (0.1562, 0.1562, 0.6562) [16 per cell]
Mg (0.0794, 0.0794, 0.4206) [16 per cell]
Ru (0.1388, 0.1388, 0.8612) [16 per cell]